1.
Entry from Alexandria via LeMat-Bulk: crystalline HoEr2S2 at its relaxed geometry (GGA-PBE).

Cell lengths 3.7810, 3.7810, 9.7129 Å; angles 78.78, 78.78, 60.00 degrees
Site moments in Bohr magnetons follow the coordinates.
Element x y z (fractional)
Er: 0.2157 0.2157 0.3528  0.18
S: 0.3910 0.3910 0.8269  0.00
Ho: 0.0000 0.0000 0.0000  -0.03
Er: 0.7843 0.7843 0.6472  0.18
S: 0.6090 0.6090 0.1731  0.00

Summary:
raw formation energy: -1.562 eV per atom

---

2.
Entry from Alexandria via LeMat-Bulk: crystalline Rb2MgF5 at its relaxed geometry (GGA-PBE).

Cell lengths 4.0167, 6.2795, 6.2795 Å; angles 90.00, 90.00, 90.00 degrees
Site moments in Bohr magnetons follow the coordinates.
Element x y z (fractional)
Rb: 0.5000 0.5000 0.0000  0.00
F: 0.0000 0.2229 0.7771  0.20
F: 0.5000 0.0000 0.0000  0.13
F: 0.0000 0.7771 0.2229  0.20
Mg: 0.0000 0.0000 0.0000  0.00
F: 0.0000 0.7771 0.7771  0.20
Rb: 0.5000 0.0000 0.5000  0.00
F: 0.0000 0.2229 0.2229  0.20

Summary:
raw formation energy: -2.687 eV per atom
ΔE to the lowest computed polymorph: 0.07 eV per formula unit

---

3.
Entry from Alexandria via LeMat-Bulk: crystalline Zn2CoOs at its relaxed geometry (GGA-PBE).

Cell lengths 2.6334, 4.6656, 5.2519 Å; angles 54.75, 90.00, 90.00 degrees
Site moments in Bohr magnetons follow the coordinates.
Element x y z (fractional)
Os: 0.0000 0.0000 0.5000  0.01
Zn: 0.0000 0.0000 0.0000  -0.01
Zn: 0.5000 0.5000 0.0000  0.00
Co: 0.5000 0.5000 0.5000  0.65

Summary:
formation enthalpy at 0 K: 0.149 eV/atom
ΔE to the lowest computed polymorph: 0.31 eV per formula unit

---

4.
Entry from Alexandria via LeMat-Bulk: crystalline Li2GdSc at its relaxed geometry (GGA-PBE).

Cell lengths 3.1957, 3.1957, 11.8275 Å; angles 82.24, 82.24, 60.00 degrees
Site moments in Bohr magnetons follow the coordinates.
Element x y z (fractional)
Sc: 0.0000 0.0000 0.0000  0.10
Gd: 0.5000 0.5000 0.5000  7.27
Li: 0.0851 0.0851 0.7447  0.00
Li: 0.9149 0.9149 0.2553  0.00

Summary:
formation enthalpy at 0 K: 0.321 eV/atom
ΔE to the lowest computed polymorph: 0.58 eV per formula unit

---

5.
Entry from Alexandria via LeMat-Bulk: crystalline Ba2SnHg at its relaxed geometry (GGA-PBE).

Cell lengths 6.1817, 6.1817, 11.2970 Å; angles 74.12, 74.12, 90.00 degrees
Element x y z (fractional)
Ba: 0.6237 0.1250 0.2500
Hg: 0.0000 0.0000 0.0000
Hg: 0.7500 0.2500 0.5000
Sn: 0.5000 0.5000 0.0000
Ba: 0.8750 0.8737 0.7500
Ba: 0.3750 0.3763 0.7500
Sn: 0.2500 0.7500 0.5000
Ba: 0.1263 0.6250 0.2500

Summary:
formation enthalpy at 0 K: -0.121 eV/atom
ΔE to the lowest computed polymorph: 2.06 eV per formula unit

---

6.
Entry from Alexandria via LeMat-Bulk: crystalline CsNdAg2I6 at its relaxed geometry (GGA-PBE).

Cell lengths 9.4123, 11.1108, 11.1108 Å; angles 81.56, 71.95, 71.95 degrees
Element x y z (fractional)
Ag: 0.8693 0.5159 0.6158
I: 0.5381 0.5423 0.7030
I: 0.4619 0.4577 0.2970
I: 0.4702 0.8483 0.4054
I: 0.3323 0.1798 0.0582
Nd: 0.7500 0.8215 0.1785
Ag: 0.6307 0.3842 0.4841
I: 0.0298 0.5946 0.1517
I: 0.5298 0.1517 0.5946
I: 0.0381 0.7030 0.5423
I: 0.9619 0.2970 0.4577
Ag: 0.1307 0.4841 0.3842
Cs: 0.7500 0.1723 0.8277
I: 0.1677 0.9418 0.8202
I: 0.6677 0.8202 0.9418
Cs: 0.2500 0.8277 0.1723
I: 0.8323 0.0582 0.1798
I: 0.9702 0.4054 0.8483
Nd: 0.2500 0.1785 0.8215
Ag: 0.3693 0.6158 0.5159

Summary:
raw formation energy: -0.898 eV per atom

---

7.
Entry from Alexandria via LeMat-Bulk: crystalline RbHg2GeSb at its relaxed geometry (GGA-PBE).

Cell lengths 5.6045, 5.6045, 5.6283 Å; angles 90.00, 90.00, 90.00 degrees
Element x y z (fractional)
Hg: 0.5000 0.0000 0.0000
Hg: 0.0000 0.5000 0.0000
Ge: 0.0000 0.0000 0.0000
Sb: 0.0000 0.0000 0.5000
Rb: 0.5000 0.5000 0.5000

Summary:
raw formation energy: 0.006 eV per atom

---

8.
Entry from Alexandria via LeMat-Bulk: crystalline SrCa2La at its relaxed geometry (GGA-PBE).

Cell lengths 3.7891, 3.7891, 12.8209 Å; angles 90.00, 90.00, 111.33 degrees
Element x y z (fractional)
Sr: 0.5000 0.5000 0.7500
Ca: 0.0000 0.0000 0.0092
Ca: 0.0000 0.0000 0.4908
La: 0.5000 0.5000 0.2500

Summary:
formation enthalpy at 0 K: 0.080 eV/atom
ΔE to the lowest computed polymorph: 0.07 eV per formula unit

---

D(E_F), respectively: 3.64, 10.29, 3.39, 5.52, 7.61, 0.00, 2.79, 5.46 states/eV/cell.
Density, respectively: 8.0, 3.0, 12.0, 3.5, 5.0, 4.0, 6.4, 3.0 g/cm³.